Material: Na3MgBe
Method: DFT, PBE-GGA
State: relaxed

## Properties
DOS(E_F) = 0.55 states/eV per atom
formation energy = 0.6113 eV/atom
DFT total energy = -6.2 eV/cell
energy above the lowest structure with this stoichiometry = 0.00 eV/f.u.
space-group type = Pm-3m (221)

```
Na3MgBe
1.0
5.424 0.000 0.000
0.000 5.424 0.000
0.000 0.000 5.424
Na Mg Be
3 1 1
direct
0.000 0.000 0.500
0.000 0.500 0.000
0.500 0.000 0.000
0.500 0.500 0.500
0.000 0.000 0.000
```

=====

Material: NaMgBe2
Method: DFT, PBE-GGA
State: relaxed

## Properties
DOS(E_F) = 0.37 states/eV per atom
formation energy = 0.9064 eV/atom
DFT total energy = -13.5 eV/cell
space-group type = I-42d (122)

```
NaMgBe2
1.0
-3.717 3.717 2.525
3.717 -3.717 2.525
3.717 3.717 -2.525
Na Mg Be
2 2 4
direct
0.000 0.000 0.000
0.750 0.250 0.500
0.250 0.750 0.500
0.500 0.500 0.000
0.138 0.125 0.513
0.375 0.862 0.987
0.612 0.625 0.487
0.875 0.388 0.013
```

=====

Material: Na3MgBe
Method: DFT, PBE-GGA
State: relaxed

## Properties
DOS(E_F) = 0.59 states/eV per atom
formation energy = 0.9244 eV/atom
DFT total energy = -4.7 eV/cell
energy above the lowest structure with this stoichiometry = 1.57 eV/f.u.
space-group type = Pm-3m (221)

```
Na3MgBe
1.0
5.844 0.000 0.000
0.000 5.844 0.000
0.000 0.000 5.844
Na Mg Be
3 1 1
direct
0.000 0.000 0.500
0.000 0.500 0.000
0.500 0.000 0.000
0.000 0.000 0.000
0.500 0.500 0.500
```

=====

Material: NaMg2Be
Method: DFT, PBE-GGA
State: relaxed

## Properties
DOS(E_F) = 0.42 states/eV per atom
formation energy = 0.6176 eV/atom
DFT total energy = -11.5 eV/cell
space-group type = I-42d (122)

```
NaMg2Be
1.0
-2.155 2.155 9.905
2.155 -2.155 9.905
2.155 2.155 -9.905
Na Mg Be
2 4 2
direct
0.000 0.000 0.000
0.750 0.250 0.500
0.155 0.625 0.030
0.375 0.405 0.530
0.595 0.125 0.970
0.875 0.845 0.470
0.250 0.750 0.500
0.500 0.500 0.000
```

=====

Material: NaMg2Be2
Method: DFT, PBE-GGA
State: relaxed

## Properties
DOS(E_F) = 0.51 states/eV per atom
formation energy = 0.4921 eV/atom
DFT total energy = -9.5 eV/cell
energy above the lowest structure with this stoichiometry = 0.72 eV/f.u.
space-group type = I4/mmm (139)

```
NaMg2Be2
1.0
-2.155 2.155 5.360
2.155 -2.155 5.360
2.155 2.155 -5.360
Na Mg Be
1 2 2
direct
0.000 0.000 0.000
0.250 0.750 0.500
0.750 0.250 0.500
0.402 0.402 0.000
0.598 0.598 0.000
```

=====

Material: NaMg2Be2
Method: DFT, PBE-GGA
State: relaxed

## Properties
DOS(E_F) = 0.26 states/eV per atom
formation energy = 0.3482 eV/atom
DFT total energy = -20.4 eV/cell
energy above the lowest structure with this stoichiometry = 0.00 eV/f.u.
space-group type = P4/mbm (127)

```
NaMg2Be2
1.0
7.708 0.000 0.000
0.000 7.708 0.000
0.000 0.000 2.929
Na Mg Be
2 4 4
direct
0.000 0.000 0.000
0.500 0.500 0.000
0.181 0.319 0.500
0.319 0.819 0.500
0.681 0.181 0.500
0.819 0.681 0.500
0.103 0.603 0.000
0.397 0.103 0.000
0.603 0.897 0.000
0.897 0.397 0.000
```

=====

Material: Na2MgBeP2
Method: DFT, PBE-GGA
State: relaxed

## Properties
DOS(E_F) = 0.00 states/eV per atom
formation energy = -0.4887 eV/atom
DFT total energy = -43.4 eV/cell
space-group type = Ibam (72)

```
Na2MgBeP2
1.0
-2.877 6.738 2.893
2.877 -6.738 2.893
2.877 6.738 -2.893
Na Mg Be P
4 2 2 4
direct
0.182 0.241 0.423
0.318 0.741 0.059
0.682 0.259 0.941
0.818 0.759 0.577
0.250 0.750 0.500
0.750 0.250 0.500
0.250 0.250 0.000
0.750 0.750 0.000
0.099 0.784 0.882
0.401 0.284 0.685
0.599 0.716 0.315
0.901 0.216 0.118
```

=====

Material: NaMgBe2V
Method: DFT, PBE-GGA
State: relaxed

## Properties
DOS(E_F) = 0.82 states/eV per atom
formation energy = 1.6098 eV/atom
DFT total energy = -11.4 eV/cell
space-group type = P4/mmm (123)

```
NaMgBe2V
1.0
4.413 0.000 0.000
0.000 4.413 0.000
0.000 0.000 4.474
Na Mg Be V
1 1 2 1
direct
0.000 0.000 0.000
0.000 0.000 0.500
0.000 0.500 0.500
0.500 0.000 0.500
0.500 0.500 0.000
```

=====

Material: Mg3BeNb
Method: DFT, PBE-GGA
State: relaxed

## Properties
DOS(E_F) = 0.50 states/eV per atom
formation energy = 0.7492 eV/atom
DFT total energy = -14.8 eV/cell
energy above the lowest structure with this stoichiometry = 0.00 eV/f.u.
space-group type = Pm-3m (221)

```
Mg3BeNb
1.0
4.582 0.000 0.000
0.000 4.582 0.000
0.000 0.000 4.582
Mg Be Nb
3 1 1
direct
0.000 0.000 0.500
0.000 0.500 0.000
0.500 0.000 0.000
0.000 0.000 0.000
0.500 0.500 0.500
```

=====

Material: MgBe17Nb
Method: DFT, PBE-GGA
State: relaxed

## Properties
DOS(E_F) = 0.23 states/eV per atom
formation energy = -0.1004 eV/atom
DFT total energy = -76.9 eV/cell
space-group type = R3m (160)

```
MgBe17Nb
1.0
3.711 2.143 3.613
-3.711 2.143 3.613
0.000 -4.286 3.613
Mg Be Nb
1 17 1
direct
0.000 0.000 0.000
0.000 0.000 0.505
0.000 0.505 0.000
0.052 0.345 0.639
0.052 0.639 0.345
0.188 0.689 0.689
0.249 0.249 0.249
0.345 0.052 0.639
0.345 0.639 0.052
0.353 0.353 0.843
0.353 0.843 0.353
0.446 0.446 0.446
0.505 0.000 0.000
0.639 0.052 0.345
0.639 0.345 0.052
0.689 0.188 0.689
0.689 0.689 0.188
0.843 0.353 0.353
0.681 0.681 0.681
```

=====

Material: MgBeNb3
Method: DFT, PBE-GGA
State: relaxed

## Properties
DOS(E_F) = 1.15 states/eV per atom
formation energy = 0.5105 eV/atom
DFT total energy = -33.0 eV/cell
energy above the lowest structure with this stoichiometry = 0.00 eV/f.u.
space-group type = Pm-3m (221)

```
MgBeNb3
1.0
4.495 0.000 0.000
0.000 4.495 0.000
0.000 0.000 4.495
Mg Be Nb
1 1 3
direct
0.000 0.000 0.000
0.500 0.500 0.500
0.000 0.500 0.500
0.500 0.000 0.500
0.500 0.500 0.000
```

=====

Material: MgBeNb3
Method: DFT, PBE-GGA
State: relaxed

## Properties
DOS(E_F) = 1.40 states/eV per atom
formation energy = 1.9444 eV/atom
DFT total energy = -25.8 eV/cell
energy above the lowest structure with this stoichiometry = 7.17 eV/f.u.
space-group type = Pm-3m (221)

```
MgBeNb3
1.0
4.706 0.000 0.000
0.000 4.706 0.000
0.000 0.000 4.706
Mg Be Nb
1 1 3
direct
0.000 0.000 0.000
0.500 0.500 0.500
0.000 0.000 0.500
0.000 0.500 0.000
0.500 0.000 0.000
```

=====

Material: MgBeNb2
Method: DFT, PBE-GGA
State: relaxed

## Properties
DOS(E_F) = 1.07 states/eV per atom
formation energy = 0.7251 eV/atom
DFT total energy = -45.1 eV/cell
energy above the lowest structure with this stoichiometry = 1.22 eV/f.u.
space-group type = I-42d (122)

```
MgBeNb2
1.0
-1.895 1.895 10.033
1.895 -1.895 10.033
1.895 1.895 -10.033
Mg Be Nb
2 2 4
direct
0.000 0.000 0.000
0.750 0.250 0.500
0.250 0.750 0.500
0.500 0.500 0.000
0.134 0.625 0.009
0.375 0.384 0.509
0.616 0.125 0.991
0.875 0.866 0.491
```

=====

Material: Mg2BeNb
Method: DFT, PBE-GGA
State: relaxed

## Properties
DOS(E_F) = 0.68 states/eV per atom
formation energy = 0.6469 eV/atom
DFT total energy = -28.8 eV/cell
space-group type = I-42d (122)

```
Mg2BeNb
1.0
-3.678 3.678 2.626
3.678 -3.678 2.626
3.678 3.678 -2.626
Mg Be Nb
4 2 2
direct
0.074 0.125 0.449
0.375 0.926 0.051
0.676 0.625 0.551
0.875 0.324 0.949
0.000 0.000 0.000
0.750 0.250 0.500
0.250 0.750 0.500
0.500 0.500 0.000
```

=====

Material: Mg3BeNb
Method: DFT, PBE-GGA
State: relaxed

## Properties
DOS(E_F) = 0.65 states/eV per atom
formation energy = 1.6194 eV/atom
DFT total energy = -10.5 eV/cell
energy above the lowest structure with this stoichiometry = 4.35 eV/f.u.
space-group type = Pm-3m (221)

```
Mg3BeNb
1.0
5.433 0.000 0.000
0.000 5.433 0.000
0.000 0.000 5.433
Mg Be Nb
3 1 1
direct
0.000 0.000 0.500
0.000 0.500 0.000
0.500 0.000 0.000
0.500 0.500 0.500
0.000 0.000 0.000
```

=====

Material: MgBe2Nb2
Method: DFT, PBE-GGA
State: relaxed

## Properties
DOS(E_F) = 0.20 states/eV per atom
formation energy = 0.0368 eV/atom
DFT total energy = -58.0 eV/cell
space-group type = P4/mbm (127)

```
MgBe2Nb2
1.0
6.549 0.000 0.000
0.000 6.549 0.000
0.000 0.000 3.360
Mg Be Nb
2 4 4
direct
0.000 0.000 0.000
0.500 0.500 0.000
0.113 0.387 0.000
0.387 0.887 0.000
0.613 0.113 0.000
0.887 0.613 0.000
0.176 0.676 0.500
0.324 0.176 0.500
0.676 0.824 0.500
0.824 0.324 0.500
```

=====

Material: MgBeNb2
Method: DFT, PBE-GGA
State: relaxed

## Properties
DOS(E_F) = 1.07 states/eV per atom
formation energy = 0.4203 eV/atom
DFT total energy = -23.8 eV/cell
energy above the lowest structure with this stoichiometry = 0.00 eV/f.u.
space-group type = Fm-3m (225)

```
MgBeNb2
1.0
0.000 3.179 3.179
3.179 0.000 3.179
3.179 3.179 0.000
Mg Be Nb
1 1 2
direct
0.000 0.000 0.000
0.500 0.500 0.500
0.250 0.250 0.250
0.750 0.750 0.750
```

=====

Material: MgBe2NbO
Method: DFT, PBE-GGA
State: relaxed

## Properties
DOS(E_F) = 0.41 states/eV per atom
formation energy (no corrections) = 22 kJ per mole of atoms
DFT total energy = -22.9 eV/cell
space-group type = P4/mmm (123)

```
MgBe2NbO
1.0
4.798 0.000 0.000
0.000 4.798 0.000
0.000 0.000 3.889
Mg Be Nb O
1 2 1 1
direct
0.000 0.000 0.000
0.000 0.500 0.500
0.500 0.000 0.500
0.500 0.500 0.500
0.500 0.500 0.000
```

=====

Material: MgBeNb2Pb
Method: DFT, PBE-GGA
State: relaxed

## Properties
DOS(E_F) = 1.19 states/eV per atom
formation energy = 1.9047 eV/atom
DFT total energy = -19.6 eV/cell
space-group type = P4/mmm (123)

```
MgBeNb2Pb
1.0
4.836 0.000 0.000
0.000 4.836 0.000
0.000 0.000 5.016
Mg Be Nb Pb
1 1 2 1
direct
0.000 0.000 0.000
0.500 0.500 0.500
0.000 0.500 0.000
0.500 0.000 0.000
0.000 0.000 0.500
```

=====

Material: RbMg2BeNb
Method: DFT, PBE-GGA
State: relaxed

## Properties
DOS(E_F) = 0.97 states/eV per atom
formation energy = 1.0056 eV/atom
DFT total energy = -12.9 eV/cell
space-group type = P4/mmm (123)

```
RbMg2BeNb
1.0
5.680 0.000 0.000
0.000 5.680 0.000
0.000 0.000 4.873
Rb Mg Be Nb
1 2 1 1
direct
0.000 0.000 0.000
0.000 0.500 0.500
0.500 0.000 0.500
0.500 0.500 0.000
0.500 0.500 0.500
```

=====

Material: MgBeNbRh
Method: DFT, PBE-GGA
State: relaxed

## Properties
DOS(E_F) = 0.08 states/eV per atom
formation energy = -0.2198 eV/atom
DFT total energy = -23.6 eV/cell
space-group type = F-43m (216)

```
MgBeNbRh
1.0
0.000 3.092 3.092
3.092 0.000 3.092
3.092 3.092 0.000
Mg Be Nb Rh
1 1 1 1
direct
0.000 0.000 0.000
0.750 0.750 0.750
0.500 0.500 0.500
0.250 0.250 0.250
```

=====

Material: MgBeNbRu
Method: DFT, PBE-GGA
State: relaxed

## Properties
DOS(E_F) = 1.16 states/eV per atom
formation energy = -0.0479 eV/atom
DFT total energy = -24.9 eV/cell
space-group type = F-43m (216)

```
MgBeNbRu
1.0
0.000 3.092 3.092
3.092 0.000 3.092
3.092 3.092 0.000
Mg Be Nb Ru
1 1 1 1
direct
0.000 0.000 0.000
0.750 0.750 0.750
0.500 0.500 0.500
0.250 0.250 0.250
```

=====

Material: Mg2BeNbSb
Method: DFT, PBE-GGA
State: relaxed

## Properties
DOS(E_F) = 0.75 states/eV per atom
formation energy (no corrections) = 116 kJ per mole of atoms
DFT total energy = -15.1 eV/cell
space-group type = P4/mmm (123)

```
Mg2BeNbSb
1.0
5.476 0.000 0.000
0.000 5.476 0.000
0.000 0.000 4.351
Mg Be Nb Sb
2 1 1 1
direct
0.000 0.500 0.000
0.500 0.000 0.000
0.000 0.000 0.500
0.500 0.500 0.500
0.000 0.000 0.000
```

=====

Material: Mg2BeNbW
Method: DFT, PBE-GGA
State: relaxed

## Properties
DOS(E_F) = 1.29 states/eV per atom
formation energy = 1.6901 eV/atom
DFT total energy = -21.5 eV/cell
space-group type = P4/mmm (123)

```
Mg2BeNbW
1.0
4.945 0.000 0.000
0.000 4.945 0.000
0.000 0.000 4.254
Mg Be Nb W
2 1 1 1
direct
0.000 0.500 0.000
0.500 0.000 0.000
0.000 0.000 0.500
0.500 0.500 0.500
0.000 0.000 0.000
```

=====

Material: Nd2MgBePd6
Method: DFT, PBE-GGA
State: relaxed

## Properties
DOS(E_F) = 0.42 states/eV per atom
formation energy = -0.6128 eV/atom
DFT total energy = -52.1 eV/cell
space-group type = C2/m (12)

```
Nd2MgBePd6
1.0
5.090 -2.941 0.000
5.090 2.941 0.000
-3.384 0.000 6.450
Nd Mg Be Pd
2 1 1 6
direct
0.232 0.232 0.196
0.768 0.768 0.804
0.500 0.500 0.000
0.000 0.000 0.500
0.237 0.237 0.692
0.237 0.715 0.690
0.285 0.763 0.310
0.715 0.237 0.690
0.763 0.285 0.310
0.763 0.763 0.308
```

=====

Material: Nd3MgBe2Pd9
Method: DFT, PBE-GGA
State: relaxed

## Properties
DOS(E_F) = 0.36 states/eV per atom
formation energy = -0.5810 eV/atom
DFT total energy = -78.8 eV/cell
space-group type = P-3m1 (164)

```
Nd3MgBe2Pd9
1.0
6.723 0.000 0.000
-3.362 5.823 0.000
0.000 0.000 7.131
Nd Mg Be Pd
3 1 2 9
direct
0.000 0.000 0.000
0.333 0.667 0.671
0.667 0.333 0.329
0.000 0.000 0.500
0.333 0.667 0.138
0.667 0.333 0.862
0.000 0.500 0.000
0.185 0.371 0.326
0.185 0.815 0.326
0.371 0.185 0.674
0.500 0.000 0.000
0.500 0.500 0.000
0.629 0.815 0.326
0.815 0.185 0.674
0.815 0.629 0.674
```